AcNdWO6 | PBE+U | optimized geometry

Computed properties:
Magnetization = 0.000 μB/cell
Electronic total energy = -7.9348 eV/atom

a b c (Å): 5.169 5.759 5.759
angles (deg): 120.00 90.00 90.00
Atoms (fractional coordinates):
Ac 0.000 0.333 0.667
Nd 0.500 0.667 0.333
W 0.500 0.000 0.000
O 0.714 0.718 0.717
O 0.714 0.283 0.002
O 0.714 0.998 0.282
O 0.286 0.283 0.282
O 0.286 0.718 0.002
O 0.286 0.998 0.717